The following is a DFT calculation (PBE) of LiNpAl4 after structural relaxation.

The structure belongs to space group F-43m (No. 216); the cell edges are 7.734, 7.734 and 7.734 Å and the angles 90.00°, 90.00° and 90.00°. The distinct sites, in fractional coordinates, are Li at (0.000, 0.000, 0.000), Np at (0.250, 0.250, 0.250) and Al at (0.124, 0.124, 0.624).

The crystal system is cubic. Its formation energy is 0.008 eV per atom. The calculation puts the density of states at the Fermi level at 48.071 states/eV per cell.

***

The following is a DFT calculation (PBE) of Li2NpAl9 after structural relaxation.

The structure belongs to space group P4/mmm (No. 123); the cell edges are 4.117, 4.117 and 12.312 Å and the angles 90.00°, 90.00° and 90.00°. The distinct sites, in fractional coordinates, are Li at (0.000, 0.000, 0.164), Np at (0.000, 0.000, 0.500), Al at (0.000, 0.500, 0.000), Al at (0.000, 0.500, 0.322), Al at (0.500, 0.500, 0.161) and Al at (0.500, 0.500, 0.500).

The crystal system is tetragonal. Its formation energy is -0.073 eV per atom. The calculation puts the density of states at the Fermi level at 11.072 states/eV per cell.

***

The following is a DFT calculation (PBE) of Li4NpAl15 after structural relaxation.

The structure belongs to space group P4/mmm (No. 123); the cell edges are 4.066, 4.066 and 20.500 Å and the angles 90.00°, 90.00° and 90.00°. The distinct sites, in fractional coordinates, are Li at (0.000, 0.000, 0.099), Li at (0.000, 0.000, 0.296), Np at (0.000, 0.000, 0.500), Al at (0.000, 0.500, 0.000), Al at (0.000, 0.500, 0.196), Al at (0.000, 0.500, 0.392), Al at (0.500, 0.500, 0.097), Al at (0.500, 0.500, 0.294) and Al at (0.500, 0.500, 0.500).

The crystal system is tetragonal. Its formation energy is -0.078 eV per atom. The calculation puts the density of states at the Fermi level at 13.126 states/eV per cell.